1.
VASP calculation (GGA-PBE) on an optimized crystal structure of Ac2La3YTe6.

Results
- Final energy: -5.5310 eV per atom
- Formation energy without anion corrections: -145 kJ per mole of atoms

a b c (Å): 7.9569 13.8349 7.9588
angles (deg): 90.00 109.67 90.00
Space group C2/m (No. 12)
Symmetry-distinct sites (fractional):
Ac  0.0000  0.1650  0.0000 x4
La  0.0000  0.0000  0.5000 x2
La  0.0000  0.3249  0.5000 x4
Y  0.0000  0.5000  0.0000 x2
Te  0.2312  0.5000  0.7432 x4
Te  0.2406  0.3407  0.2475 x8

---

2.
VASP calculation (GGA-PBE) on an optimized crystal structure of SrP2Ru.

Results
- Final energy: -6.0698 eV per atom
- E above lowest polymorph: 6.29 kJ per mole of atoms

a b c (Å): 7.0148 3.8873 6.3224
angles (deg): 90.00 112.25 90.00
Space group Cm (No. 8)
Symmetry-distinct sites (fractional):
Sr  0.0000  0.0000  0.0000 x2
P  0.0450  0.5000  0.6395 x2
P  0.2983  0.5000  0.3602 x2
Ru  0.1900  0.0000  0.5578 x2